Computed, not measured: an optimized crystal structure of SiCl3 at the PBE level of DFT.

a b c (Å): 4.732 4.732 4.732
angles (deg): 90.00 90.00 90.00
Atoms (fractional coordinates):
Si 0.000 0.000 0.000
Cl 0.000 0.000 0.500
Cl 0.000 0.500 0.000
Cl 0.500 0.000 0.000

- formation energy (no corrections) (eV/f.u.) = -2.37
- energy above the lowest structure with this stoichiometry (eV per atom) = 0.244
- symmetry = Pm-3m, No. 221


Computed, not measured: an optimized crystal structure of Si2Cl at the PBE level of DFT.

a b c (Å): 4.171 4.171 14.161
angles (deg): 90.00 90.00 90.00
Atoms (fractional coordinates):
Si 0.000 0.250 0.290
Si 0.000 0.250 0.460
Si 0.000 0.750 0.540
Si 0.000 0.750 0.710
Si 0.500 0.250 0.040
Si 0.500 0.250 0.210
Si 0.500 0.750 0.790
Si 0.500 0.750 0.960
Cl 0.000 0.250 0.875
Cl 0.000 0.750 0.125
Cl 0.500 0.250 0.625
Cl 0.500 0.750 0.375

- formation energy (no corrections) (eV/f.u.) = 1.00
- energy above the lowest structure with this stoichiometry (eV per atom) = 0.785
- symmetry = I4_1/amd, No. 141


Computed, not measured: an optimized crystal structure of SiCl2 at the PBE level of DFT.

a b c (Å): 3.327 3.327 28.742
angles (deg): 90.00 90.00 90.00
Atoms (fractional coordinates):
Si 0.000 0.250 0.375
Si 0.000 0.750 0.625
Si 0.500 0.250 0.125
Si 0.500 0.750 0.875
Cl 0.000 0.250 0.821
Cl 0.000 0.250 0.929
Cl 0.000 0.750 0.071
Cl 0.000 0.750 0.179
Cl 0.500 0.250 0.571
Cl 0.500 0.250 0.679
Cl 0.500 0.750 0.321
Cl 0.500 0.750 0.429

- formation energy (no corrections) (eV/f.u.) = -0.60
- symmetry = I4_1/amd, No. 141


Computed, not measured: an optimized crystal structure of Si2Cl at the PBE level of DFT.

a b c (Å): 15.927 3.467 6.497
angles (deg): 90.00 111.96 90.00
Atoms (fractional coordinates):
Si 0.211 0.000 0.351
Si 0.226 0.500 0.086
Si 0.274 0.000 0.914
Si 0.289 0.500 0.649
Si 0.711 0.500 0.351
Si 0.726 0.000 0.086
Si 0.774 0.500 0.914
Si 0.789 0.000 0.649
Cl 0.078 0.000 0.338
Cl 0.422 0.500 0.662
Cl 0.578 0.500 0.338
Cl 0.922 0.000 0.662

- formation energy (no corrections) (eV/f.u.) = -0.06
- energy above the lowest structure with this stoichiometry (eV per atom) = 0.433
- symmetry = C2/m, No. 12


no.,total moment (μB per formula unit)
1,0.00
2,0.00
3,0.00
4,0.00